DFT (PBE) results for an optimized crystal structure of BaTl2Sb.

Computed properties:
Uncorrected formation energy: -0.4044 eV per atom
Relative energy among the computed polymorphs: 8.3 kJ/mol of atoms
Crystal system: orthorhombic

The structure in CIF format:
```
data_BaTl2Sb
_chemical_formula_sum 'Ba2 Tl4 Sb2'
_cell_length_a 4.8391
_cell_length_b 5.2509
_cell_length_c 11.0012
_cell_angle_alpha 90.00
_cell_angle_beta 90.00
_cell_angle_gamma 90.00
_symmetry_space_group_name_H-M 'I m m 2'
_symmetry_Int_Tables_number 44
loop_
_symmetry_equiv_pos_as_xyz
'x,y,z'
'-x,-y,z'
'-x,y,z'
'x,-y,z'
'x+1/2,y+1/2,z+1/2'
'-x+1/2,-y+1/2,z+1/2'
'-x+1/2,y+1/2,z+1/2'
'x+1/2,-y+1/2,z+1/2'
loop_
_atom_site_label
_atom_site_type_symbol
_atom_site_fract_x
_atom_site_fract_y
_atom_site_fract_z
Ba1 Ba 0.0000 0.0000 0.0000
Tl1 Tl 0.0000 0.0000 0.4291
Tl2 Tl 0.0000 0.5000 0.2224
Sb1 Sb 0.0000 0.5000 0.7448
```

---

DFT (PBE) results for an optimized crystal structure of Ba2ZrCo.

Computed properties:
Relative energy among the computed polymorphs: 64.0 kJ/mol of atoms
Energy relative to the elements: 0.917 eV/atom
Crystal system: monoclinic

The structure in CIF format:
```
data_Ba2ZrCo
_chemical_formula_sum 'Ba2 Zr1 Co1'
_cell_length_a 3.9420
_cell_length_b 4.8406
_cell_length_c 6.5729
_cell_angle_alpha 90.00
_cell_angle_beta 100.87
_cell_angle_gamma 90.00
_symmetry_space_group_name_H-M 'P 1 2/m 1'
_symmetry_Int_Tables_number 10
loop_
_symmetry_equiv_pos_as_xyz
'x,y,z'
'-x,-y,-z'
'-x,y,-z'
'x,-y,z'
loop_
_atom_site_label
_atom_site_type_symbol
_atom_site_fract_x
_atom_site_fract_y
_atom_site_fract_z
Ba1 Ba 0.1030 0.0000 0.2705
Zr1 Zr 0.5000 0.5000 0.0000
Co1 Co 0.5000 0.5000 0.5000
```

---

DFT (PBE) results for an optimized crystal structure of HRhO2.

Computed properties:
VASP energy: -5.205 eV per atom
Crystal system: tetragonal

The structure in CIF format:
```
data_HRhO2
_chemical_formula_sum 'H4 Rh4 O8'
_cell_length_a 4.2803
_cell_length_b 4.2803
_cell_length_c 7.5613
_cell_angle_alpha 90.00
_cell_angle_beta 90.00
_cell_angle_gamma 90.00
_symmetry_space_group_name_H-M 'I -4 2 d'
_symmetry_Int_Tables_number 122
_symmetry_space_group_name_Hall 'I -4 2bw'
loop_
_atom_site_label
_atom_site_type_symbol
_atom_site_fract_x
_atom_site_fract_y
_atom_site_fract_z
H1 H 0.0000 0.0000 0.0000
Rh1 Rh 0.0000 0.0000 0.5000
O1 O 0.1736 0.2500 0.1250
```

---

DFT (PBE) results for an optimized crystal structure of La2TlInS.

Computed properties:
Uncorrected formation energy: 0.2545 eV per atom
Crystal system: tetragonal

The structure in CIF format:
```
data_La2TlInS
_chemical_formula_sum 'La2 Tl1 In1 S1'
_cell_length_a 6.0850
_cell_length_b 6.0850
_cell_length_c 5.1331
_cell_angle_alpha 90.00
_cell_angle_beta 90.00
_cell_angle_gamma 90.00
_symmetry_space_group_name_H-M 'P 4/m m m'
_symmetry_Int_Tables_number 123
_symmetry_space_group_name_Hall '-P 4 2'
loop_
_atom_site_label
_atom_site_type_symbol
_atom_site_fract_x
_atom_site_fract_y
_atom_site_fract_z
La1 La 0.0000 0.5000 0.0000
Tl1 Tl 0.0000 0.0000 0.0000
In1 In 0.5000 0.5000 0.5000
S1 S 0.0000 0.0000 0.5000
```